PBE MgB2Pt, optimized geometry; volume = 13.368 A^3/atom; energy of formation = 0.003 eV/atom; total magnetic moment = 0.000 μB/atom; space group = I4_1/amd (141); total energy = -5.2448 eV/atom
1.0
-1.8756 1.8756 7.5999
1.8756 -1.8756 7.5999
1.8756 1.8756 -7.5999
Mg B Pt
2 4 2
Cartesian
1.8756 0.9378 1.9000
0.0000 0.9378 5.6999
0.0000 0.0000 0.0000
0.9378 0.9378 -3.7999
0.9378 -0.9378 3.7999
0.0000 1.8756 0.0000
1.8756 -0.9378 5.6999
0.0000 2.8134 1.9000


PBE MgCo6Ge4, optimized geometry; volume = 14.582 A^3/atom; energy of formation = 0.022 eV/atom; total magnetic moment = 0.617 μB/atom; space group = I-42m (121); total energy = -5.6780 eV/atom
1.0
-3.0150 3.0150 4.4113
3.0150 -3.0150 4.4113
3.0150 3.0150 -4.4113
Mg Co Ge
1 6 4
Cartesian
0.0000 0.0000 0.0000
3.0150 0.0000 0.0000
0.9582 -0.9582 3.6528
2.0568 2.0568 0.7584
0.0000 3.0150 0.0000
-0.9582 0.9582 3.6528
0.9582 0.9582 5.1697
1.7540 1.7540 -1.6504
1.2610 -1.2610 6.0617
1.2610 1.2610 2.7609
-1.2610 1.2610 6.0617


PBE CsY4S6, optimized geometry; volume = 25.922 A^3/atom; total magnetic moment = 0.000 μB/atom; space group = Cmcm (63); total energy = -6.6119 eV/atom; raw formation energy = -1932.4 meV per atom
1.0
1.9973 -6.6739 0.0000
1.9973 6.6739 0.0000
0.0000 0.0000 21.3910
Cs Y S
2 8 12
Cartesian
1.9973 4.6449 16.0432
1.9973 -4.6449 5.3477
1.9973 5.3312 2.8214
1.9973 5.3312 7.8741
1.9973 1.7440 0.8397
1.9973 1.7440 9.8558
1.9973 -1.7440 11.5352
1.9973 -1.7440 20.5513
1.9973 -5.3312 13.5169
1.9973 -5.3312 18.5696
0.0000 0.0000 0.0000
0.0000 0.0000 10.6955
1.9973 4.7419 5.3477
1.9973 3.0661 12.3682
1.9973 3.0661 19.7183
1.9973 0.4175 3.1076
1.9973 0.4175 7.5879
1.9973 -0.4175 13.8031
1.9973 -0.4175 18.2834
1.9973 -3.0661 1.6727
1.9973 -3.0661 9.0228
1.9973 -4.7419 16.0432


PBE SrPrPb2, optimized geometry; volume = 32.404 A^3/atom; energy of formation = -0.519 eV/atom; total magnetic moment = 0.000 μB/atom; space group = P4/mmm (123); total energy = -3.9889 eV/atom
1.0
3.6967 0.0000 0.0000
0.0000 3.6967 0.0000
0.0000 0.0000 9.4850
Sr Pr Pb
1 1 2
Cartesian
0.0000 0.0000 0.0000
0.0000 0.0000 4.7425
1.8483 1.8483 2.4350
1.8483 1.8483 7.0500


PBE ZrAlTl4, optimized geometry; volume = 26.985 A^3/atom; energy of formation = 0.532 eV/atom; total magnetic moment = 0.165 μB/atom; space group = F-43m (216); total energy = -3.0942 eV/atom
1.0
0.0000 4.3260 4.3260
4.3260 0.0000 4.3260
4.3260 4.3260 0.0000
Zr Al Tl
1 1 4
Cartesian
0.0000 0.0000 0.0000
6.4889 6.4889 6.4889
3.2447 3.2447 3.2447
5.4073 5.4073 3.2447
5.4073 3.2447 5.4073
3.2447 5.4073 5.4073


PBE Pm4MgGa, optimized geometry; volume = 33.295 A^3/atom; energy of formation = 0.062 eV/atom; total magnetic moment = 0.000 μB/atom; space group = P4/mmm (123); total energy = -3.8753 eV/atom
1.0
4.9797 0.0000 0.0000
0.0000 4.9797 0.0000
0.0000 0.0000 8.0560
Pm Mg Ga
4 1 1
Cartesian
0.0000 2.4899 1.8141
0.0000 2.4899 6.2418
2.4899 0.0000 1.8141
2.4899 0.0000 6.2418
0.0000 0.0000 4.0280
2.4899 2.4899 0.0000